1.
The following is a DFT calculation (PBE) of crystalline PrNdSb at its relaxed geometry.

Geometry as extended XYZ:
```
6
Lattice="-2.045 -2.407 -3.347 -1.203 -3.223 3.056 -6.017 7.144 1.702" Properties=species:S:1:pos:R:3 pbc="T T T"
Pr -4.908 2.781 1.000
Pr -4.357 -1.267 0.411
Sb -2.101 1.190 0.428
Sb -7.165 0.325 0.983
Nd -1.023 -1.203 -1.673
Nd -0.602 -1.612 1.528
```

## Properties
- DFT total energy (eV/atom) = -5.41
- D(E_F) (states/eV per atom) = 1.431
- formation energy from raw total energies (meV/atom) = -855

***

2.
The following is a DFT calculation (PBE) of crystalline PrNd3Sb4 at its relaxed geometry.

Geometry as extended XYZ:
```
8
Lattice="4.536 0.000 0.000 0.000 7.850 -0.075 0.000 -2.546 7.426" Properties=species:S:1:pos:R:3 pbc="T T T"
Pr 2.268 0.000 0.000
Nd 0.000 -1.273 3.713
Nd 2.268 2.652 3.676
Nd 0.000 3.925 -0.037
Sb 0.000 1.333 1.848
Sb 2.268 5.244 1.805
Sb 0.000 3.971 5.503
Sb 2.268 0.060 5.546
```

## Properties
- DFT total energy (eV/atom) = -5.64
- D(E_F) (states/eV per atom) = 0.121
- formation energy from raw total energies (meV/atom) = -1190

***

3.
The following is a DFT calculation (PBE) of crystalline Pr5Nd2Sb4 at its relaxed geometry.

Geometry as extended XYZ:
```
11
Lattice="-3.292 0.947 2.617 -0.453 -7.762 2.239 9.468 10.920 4.406" Properties=species:S:1:pos:R:3 pbc="T T T"
Pr 0.661 -2.726 1.818
Pr 5.062 6.831 7.445
Pr 2.638 0.649 3.083
Pr -1.646 0.474 1.309
Pr 3.085 3.456 6.179
Nd 2.549 -0.150 6.810
Nd 3.174 4.255 2.452
Sb 0.440 -1.151 4.520
Sb 0.727 -5.672 2.966
Sb 5.283 5.256 4.742
Sb 4.996 9.777 6.296
```

## Properties
- DFT total energy (eV/atom) = -5.12
- D(E_F) (states/eV per atom) = 1.489
- formation energy from raw total energies (meV/atom) = -582